[1]
DFT (PBE) results for ErPuBiO2 after structural relaxation.

a b c (Å): 7.2053 7.2053 7.2053
angles (deg): 148.64 148.64 44.94
Last column: nearest neighbours and their distance in Å.
Fractional positions:
Er (0.0000, 0.0000, 0.0000)  4 O 2.22
Pu (0.6730, 0.6730, 0.0000)  4 O 2.30
Bi (0.3340, 0.3340, 0.0000)  4 Pu 3.49, 4 Er 3.53, 8 O 3.82-3.89, 4 Bi 3.89
O (0.0808, 0.5808, 0.5000)  2 Er 2.22, 2 Pu 2.30
O (0.5808, 0.0808, 0.5000)  2 Er 2.22, 2 Pu 2.30

Calculated values
- Crystal system: tetragonal
- Formation energy from raw total energies: -2.43 eV per atom
- Uncorrected energy: -44.8 eV for the cell shown

[2]
DFT (PBE) results for CeMnCoRu after structural relaxation.

a b c (Å): 4.5189 4.5189 4.5189
angles (deg): 60.00 60.00 60.00
Last column: nearest neighbours and their distance in Å.
Fractional positions:
Ce (0.0000, 0.0000, 0.0000)  4 Ru 2.77, 4 Co 2.77
Mn (0.5000, 0.5000, 0.5000)  4 Ru 2.77, 4 Co 2.77
Co (0.2500, 0.2500, 0.2500)  4 Mn 2.77, 4 Ce 2.77
Ru (0.7500, 0.7500, 0.7500)  4 Ce 2.77, 4 Mn 2.77

Calculated values
- E_form: -5 meV/atom
- Crystal system: cubic
- Uncorrected energy: -31.5 eV for the cell shown

[3]
DFT (PBE) results for LiAc2Pa after structural relaxation.

a b c (Å): 12.7559 12.7559 12.7559
angles (deg): 15.83 15.83 15.83
Last column: nearest neighbours and their distance in Å.
Fractional positions:
Li (0.0000, 0.0000, 0.0000)  6 Li 3.51, 6 Ac 3.59
Ac (0.4117, 0.4117, 0.4117)  1 Pa 3.34, 6 Ac 3.51, 3 Li 3.59
Ac (0.5883, 0.5883, 0.5883)  1 Pa 3.34, 6 Ac 3.51, 3 Li 3.59
Pa (0.5000, 0.5000, 0.5000)  2 Ac 3.34, 6 Pa 3.51

Calculated values
- E_form: 565 meV/atom
- Crystal system: trigonal
- Uncorrected energy: -17.4 eV for the cell shown

Number 1 is which compound?
ErPuBiO2

Look up the uncorrected energy of the third one.
-17.4 eV for the cell shown

uncorrected energy of number 1 (ErPuBiO2)?
-44.8 eV for the cell shown

Among the records above, which one has the lowest uncorrected energy?
ErPuBiO2